IrPb: optimized geometry, PBE.

As for the crystal system: orthorhombic. The density is 14.7 g/cm³. As for the energy relative to the elements: 0.342 eV/atom. For the total DFT energy (no corrections), the calculation gives -23.8 eV per cell. The volume is 22.59 Å³/atom.

The structure belongs to space group Pmmn (No. 59, origin choice 2); the cell edges are 2.989, 3.850 and 7.852 Å and the angles 90.00°, 90.00° and 90.00°. Symmetry generates all atoms from Ir at (0.250, 0.250, 0.074) and Pb at (0.250, 0.250, 0.696).